A plane-wave DFT calculation with PBE was carried out for DyHoMnRu after structural relaxation.

* total magnetization: 14.33 μB per cell
* energy of formation from the pure elements: -88 meV/atom

a = 6.919 Å, b = 6.919 Å, c = 6.919 Å
α = 90.00°, β = 90.00°, γ = 90.00°
Space group F-43m (No. 216)
Inequivalent atoms, fractional coordinates:
Dy1 0.000 0.000 0.000 x4
Ho1 0.000 0.000 0.500 x4
Mn1 0.250 0.250 0.750 x4
Ru1 0.250 0.250 0.250 x4


A plane-wave DFT calculation with PBE was carried out for Dy2HoMnSe6 after structural relaxation.

* E_form (uncorrected): -1.42 eV per atom
* total magnetization: 4.00 μB per cell

a = 7.019 Å, b = 7.025 Å, c = 7.485 Å
α = 90.08°, β = 117.90°, γ = 119.94°
Space group P1 (No. 1)
Inequivalent atoms, fractional coordinates:
Dy1 0.000 0.000 0.000 x1
Dy2 0.004 0.502 0.507 x1
Ho1 0.395 0.697 0.092 x1
Mn1 0.389 0.194 0.583 x1
Se1 0.229 0.409 0.320 x1
Se2 0.235 0.301 0.803 x1
Se3 0.500 0.091 0.321 x1
Se4 0.502 0.934 0.803 x1
Se5 0.869 0.568 0.804 x1
Se6 0.911 0.820 0.320 x1


A plane-wave DFT calculation with PBE was carried out for DyHoMnTl after structural relaxation.

* total magnetization: 13.44 μB per cell
* energy of formation from the pure elements: -17 meV/atom

a = 7.360 Å, b = 7.360 Å, c = 7.360 Å
α = 90.00°, β = 90.00°, γ = 90.00°
Space group F-43m (No. 216)
Inequivalent atoms, fractional coordinates:
Dy1 0.000 0.000 0.000 x4
Ho1 0.000 0.000 0.500 x4
Mn1 0.250 0.250 0.750 x4
Tl1 0.250 0.250 0.250 x4


DOS(E_F) list, top to bottom, in states/eV/cell: 10.84 4.48 20.51